! V2AuO4, optimized geometry, DFT PBE with a Hubbard U; values from VASP
&SYSTEM
  ibrav = 0, nat = 14, ntyp = 3
/
ATOMIC_SPECIES
O 16.00 O.upf
V 50.94 V.upf
Au 196.97 Au.upf
ATOMIC_POSITIONS angstrom
O 3.1577 -1.4388 3.1503
O 0.1671 1.2436 3.6629
O 4.2619 3.2291 0.8804
O 3.0424 1.1559 3.2422
O 1.6656 3.1570 0.9725
O 0.2826 -1.3511 3.5712
O 1.8093 -0.1843 1.3888
O 4.4056 -0.1125 1.2968
V 2.8163 4.6238 1.1367
V -1.4468 -0.1026 3.4091
V 3.0357 1.5223 1.1347
V 1.6624 -0.0975 3.4066
Au -0.6285 2.5177 2.2740
Au -2.2652 -2.7226 4.5440
CELL_PARAMETERS angstrom
6.2185 0.0098 -0.0048
-0.4384 6.2029 0.0042
-2.7462 -3.2397 4.5441
! VASP energy   -6.850 eV per atom
! Magnetization   0.43 μB per atom